## NaPrSmHg (PBE)

Data for a geometry-optimized NaPrSmHg structure.

Cell and atoms, written as CIF:
```
data_NaPrSmHg
_chemical_formula_sum 'Na4 Pr4 Sm4 Hg4'
_space_group_name_H-M_alt 'F -4 3 m'
_space_group_IT_number 216
_space_group_name_Hall 'F -4 2 3'
_cell_length_a 7.7742
_cell_length_b 7.7742
_cell_length_c 7.7742
_cell_angle_alpha 90.00
_cell_angle_beta 90.00
_cell_angle_gamma 90.00
loop_
_atom_site_label
_atom_site_type_symbol
_atom_site_fract_x
_atom_site_fract_y
_atom_site_fract_z
_atom_site_occupancy
Na1 Na 0.0000 0.0000 0.0000 1
Pr1 Pr 0.2500 0.2500 0.7500 1
Sm1 Sm 0.2500 0.2500 0.2500 1
Hg1 Hg 0.0000 0.0000 0.5000 1
```

Results
- density of states at the Fermi level (states/eV/f.u.) = 5.0
- DFT total energy (eV per atom) = -2.8550